Record 1
VASP calculation (PBE) on an optimized crystal structure of Ho5AlCd.

Calculated values
* formation energy: -0.02 eV/atom
* total magnetic moment: 0.00 μB per formula unit
* calculated total energy: -3.953 eV per atom
* crystal system: monoclinic

a = 8.369 Å, b = 8.487 Å, c = 11.442 Å
α = 90.00°, β = 104.34°, γ = 90.00°
Space group C2/c (No. 15)
Inequivalent atoms, fractional coordinates:
Ho: 0.000 0.097 0.250 [4 per cell]
Ho: 0.119 0.353 0.535 [8 per cell]
Ho: 0.210 0.229 0.849 [8 per cell]
Al: 0.000 0.000 0.000 [4 per cell]
Cd: 0.000 0.461 0.250 [4 per cell]

Record 2
VASP calculation (PBE) on an optimized crystal structure of Ho6Al2Cd.

Calculated values
* formation energy: 0.02 eV/atom
* total magnetic moment: 0.00 μB per formula unit
* calculated total energy: -3.965 eV per atom
* crystal system: orthorhombic

a = 5.022 Å, b = 7.184 Å, c = 15.166 Å
α = 90.00°, β = 90.00°, γ = 90.00°
Space group Immm (No. 71)
Inequivalent atoms, fractional coordinates:
Ho: 0.000 0.245 0.000 [4 per cell]
Ho: 0.000 0.251 0.331 [8 per cell]
Al: 0.000 0.000 0.167 [4 per cell]
Cd: 0.000 0.000 0.500 [2 per cell]

Record 3
VASP calculation (PBE) on an optimized crystal structure of Ho4Al3Cd.

Calculated values
* formation energy: -0.34 eV/atom
* total magnetic moment: 0.01 μB per formula unit
* calculated total energy: -4.148 eV per atom
* relative energy among the computed polymorphs: 0.0388 eV per atom
* crystal system: orthorhombic

a = 3.670 Å, b = 4.565 Å, c = 11.748 Å
α = 90.00°, β = 90.00°, γ = 90.00°
Space group Pmm2 (No. 25)
Inequivalent atoms, fractional coordinates:
Ho: 0.000 0.000 0.000 [1 per cell]
Ho: 0.000 0.500 0.309 [1 per cell]
Ho: 0.500 0.000 0.491 [1 per cell]
Ho: 0.500 0.500 0.813 [1 per cell]
Al: 0.000 0.500 0.580 [1 per cell]
Al: 0.500 0.000 0.221 [1 per cell]
Al: 0.500 0.500 0.086 [1 per cell]
Cd: 0.000 0.000 0.721 [1 per cell]